Record 1
This record from Alexandria via LeMat-Bulk describes HfFePd3 at its PBEsol-relaxed geometry. The functional is meta-GGA SCAN.

Cell lengths 4.4787, 4.4787, 4.4787 Å; angles 90.00, 90.00, 90.00 degrees
Sites, in units of the cell vectors:
Hf 0.0000 0.0000 0.0000
Fe 0.5000 0.5000 0.5000
Pd 0.0000 0.5000 0.5000
Pd 0.5000 0.0000 0.5000
Pd 0.5000 0.5000 0.0000

Output
formation energy from the elements	2.308	eV per formula unit

Record 2
This record from Alexandria via LeMat-Bulk describes La2SiS at its PBEsol-relaxed geometry. The functional is meta-GGA SCAN.

Cell lengths 7.2445, 7.2445, 7.2445 Å; angles 90.00, 90.00, 90.00 degrees
Sites, in units of the cell vectors:
La 0.2500 0.2500 0.2500
La 0.2500 0.2500 0.7500
La 0.2500 0.7500 0.2500
La 0.2500 0.7500 0.7500
La 0.7500 0.2500 0.2500
La 0.7500 0.2500 0.7500
La 0.7500 0.7500 0.2500
La 0.7500 0.7500 0.7500
Si 0.0000 0.0000 0.0000
Si 0.0000 0.5000 0.5000
Si 0.5000 0.0000 0.5000
Si 0.5000 0.5000 0.0000
S 0.0000 0.0000 0.5000
S 0.0000 0.5000 0.0000
S 0.5000 0.0000 0.0000
S 0.5000 0.5000 0.5000

Output
energy relative to the lowest polymorph listed for this composition	0.000	eV per atom
uncorrected formation energy	-1.205	eV per atom

Record 3
This record from Alexandria via LeMat-Bulk describes Zn2AgMo at its PBEsol-relaxed geometry. The functional is meta-GGA SCAN.

Cell lengths 2.6800, 4.6393, 9.4926 Å; angles 90.00, 90.00, 90.00 degrees
Sites, in units of the cell vectors:
Zn 0.0000 0.0000 0.0000
Zn 0.0000 0.5000 0.2674
Zn 0.5000 0.0000 0.7674
Zn 0.5000 0.5000 0.5000
Ag 0.0000 0.5000 0.7444
Ag 0.5000 0.0000 0.2444
Mo 0.0000 0.0000 0.5171
Mo 0.5000 0.5000 0.0171

Output
formation energy from the elements	1.006	eV per formula unit
energy relative to the lowest polymorph listed for this composition	0.213	eV per atom

Record 4
This record from Alexandria via LeMat-Bulk describes AlFeSi3 at its PBEsol-relaxed geometry. The functional is meta-GGA SCAN.

Cell lengths 4.3277, 4.3277, 4.3277 Å; angles 90.00, 90.00, 90.00 degrees
Sites, in units of the cell vectors:
Al 0.0000 0.0000 0.0000
Fe 0.5000 0.5000 0.5000
Si 0.0000 0.5000 0.5000
Si 0.5000 0.0000 0.5000
Si 0.5000 0.5000 0.0000

Output
uncorrected formation energy	0.486	eV per atom

Record 5
This record from Alexandria via LeMat-Bulk describes TiCoSb2Te at its PBEsol-relaxed geometry. The functional is meta-GGA SCAN.

Cell lengths 5.6535, 5.6535, 4.4440 Å; angles 90.00, 90.00, 90.00 degrees
Sites, in units of the cell vectors:
Ti 0.0000 0.0000 0.0000
Co 0.5000 0.5000 0.0000
Sb 0.0000 0.5000 0.5000
Sb 0.5000 0.0000 0.5000
Te 0.5000 0.5000 0.5000

Output
uncorrected formation energy	1.025	eV per atom

Record 6
This record from Alexandria via LeMat-Bulk describes TaGaTe2I at its PBEsol-relaxed geometry. The functional is meta-GGA SCAN.

Cell lengths 5.3619, 5.3619, 5.5637 Å; angles 90.00, 90.00, 90.00 degrees
Sites, in units of the cell vectors:
Ta 0.0000 0.0000 0.0000
Ga 0.5000 0.5000 0.5000
Te 0.0000 0.5000 0.0000
Te 0.5000 0.0000 0.0000
I 0.0000 0.0000 0.5000

Output
uncorrected formation energy	0.252	eV per atom

Record 7
This record from Alexandria via LeMat-Bulk describes MnAl2Ag at its PBEsol-relaxed geometry. The functional is meta-GGA SCAN.

Cell lengths 2.7870, 2.7870, 7.3154 Å; angles 90.00, 90.00, 90.00 degrees
Sites, in units of the cell vectors:
Mn 0.0000 0.0000 0.0000
Al 0.5000 0.5000 0.2190
Al 0.5000 0.5000 0.7810
Ag 0.0000 0.0000 0.5000

Output
formation energy from the elements	-1.150	eV per formula unit
energy relative to the lowest polymorph listed for this composition	0.000	eV per atom

Record 8
This record from Alexandria via LeMat-Bulk describes TaCrBr2 at its PBEsol-relaxed geometry. The functional is meta-GGA SCAN.

Cell lengths 3.7434, 3.7434, 10.7309 Å; angles 90.00, 90.00, 90.00 degrees
Sites, in units of the cell vectors:
Ta 0.0000 0.0000 0.0000
Ta 0.5000 0.5000 0.5000
Cr 0.0000 0.5000 0.7500
Cr 0.5000 0.0000 0.2500
Br 0.0000 0.0000 0.5000
Br 0.0000 0.5000 0.2500
Br 0.5000 0.0000 0.7500
Br 0.5000 0.5000 0.0000

Output
energy relative to the lowest polymorph listed for this composition	0.789	eV per atom
uncorrected formation energy	0.778	eV per atom

Number 1: ρ 10.23 Mg/m³. Number 2: ρ 5.90 Mg/m³. Number 3: ρ 9.42 Mg/m³. Number 4: ρ 3.42 Mg/m³. Number 5: ρ 5.59 Mg/m³. Number 6: ρ 6.57 Mg/m³. Number 7: ρ 6.33 Mg/m³. Number 8: ρ 8.67 Mg/m³.